[1]
Below is a relaxed structure of CuAgHgF5, with properties calculated at the PBE level.

POSCAR file:
```
CuAgHgF5
1.0
3.310 -5.537 0.000
3.310 5.537 0.000
-3.051 0.000 6.657
Cu Ag Hg F
2 2 2 10
direct
0.172 0.828 0.750
0.828 0.172 0.250
0.162 0.838 0.250
0.838 0.162 0.750
0.500 0.500 0.000
0.500 0.500 0.500
0.091 0.438 0.209
0.139 0.182 0.438
0.182 0.139 0.938
0.347 0.653 0.750
0.438 0.091 0.709
0.562 0.909 0.291
0.653 0.347 0.250
0.818 0.861 0.062
0.861 0.818 0.562
0.909 0.562 0.791
```

Output
Raw formation energy in eV/atom: -1.2675

---

[2]
Below is a relaxed structure of DyHoSn2, with properties calculated at the PBE level.

POSCAR file:
```
DyHoSn2
1.0
3.468 0.000 0.000
0.000 3.468 0.000
0.000 0.000 8.767
Dy Ho Sn
1 1 2
direct
0.000 0.000 0.000
0.000 0.000 0.500
0.500 0.500 0.251
0.500 0.500 0.749
```

Output
Energy of formation from the pure elements in eV per atom: -0.620
DOS(E_F) in states/eV/cell: 3.3

---

[3]
Below is a relaxed structure of LiZnTe2, with properties calculated at the PBE level.

POSCAR file:
```
LiZnTe2
1.0
3.176 -4.028 0.000
3.176 4.028 0.000
-1.777 0.000 3.901
Li Zn Te
1 1 2
direct
0.000 0.000 0.000
0.500 0.500 0.000
0.000 0.500 0.500
0.500 0.000 0.500
```

Output
Raw formation energy in eV/atom: -0.3010
DOS(E_F) in states/eV/cell: 0.9

---

[4]
Below is a relaxed structure of Ca5Hg2Pd2, with properties calculated at the PBE level.

POSCAR file:
```
Ca5Hg2Pd2
1.0
8.033 -3.910 0.000
8.033 3.910 0.000
0.000 0.000 7.896
Ca Hg Pd
10 4 4
direct
0.000 0.000 0.000
0.043 0.704 0.669
0.204 0.543 0.169
0.296 0.957 0.669
0.457 0.796 0.169
0.500 0.500 0.500
0.543 0.204 0.831
0.704 0.043 0.331
0.796 0.457 0.831
0.957 0.296 0.331
0.210 0.210 0.000
0.290 0.290 0.500
0.710 0.710 0.500
0.790 0.790 0.000
0.126 0.874 0.373
0.374 0.626 0.873
0.626 0.374 0.127
0.874 0.126 0.627
```

Output
Energy of formation from the pure elements in eV per atom: -0.568
DOS(E_F) in states/eV/cell: 10.0

---

[5]
Below is a relaxed structure of TbCrFe4, with properties calculated at the PBE level.

POSCAR file:
```
TbCrFe4
1.0
0.000 3.471 3.471
3.471 0.000 3.471
3.471 3.471 0.000
Tb Cr Fe
1 1 4
direct
0.000 0.000 0.000
0.750 0.750 0.750
0.376 0.376 0.376
0.376 0.376 0.871
0.376 0.871 0.376
0.871 0.376 0.376
```

Output
Energy of formation from the pure elements in eV per atom: 0.196
DOS(E_F) in states/eV/cell: 10.0

---

[6]
Below is a relaxed structure of Sc2TcMo3, with properties calculated at the PBE level.

POSCAR file:
```
Sc2TcMo3
1.0
4.630 -2.670 0.000
4.630 2.670 0.000
-3.061 0.000 4.362
Sc Tc Mo
2 1 3
direct
0.126 0.126 0.374
0.874 0.874 0.626
0.500 0.500 0.000
0.000 0.500 0.000
0.500 0.000 0.000
0.500 0.500 0.500
```

Output
Energy of formation from the pure elements in eV per atom: -0.106
DOS(E_F) in states/eV/cell: 5.0

---

[7]
Below is a relaxed structure of CeErTh4, with properties calculated at the PBE level.

POSCAR file:
```
CeErTh4
1.0
9.168 -1.773 0.000
9.168 1.773 0.000
-2.028 0.000 5.788
Ce Er Th
1 1 4
direct
0.000 0.000 0.000
0.500 0.500 0.500
0.167 0.167 0.500
0.334 0.334 0.000
0.666 0.666 0.000
0.833 0.833 0.500
```

Output
Energy of formation from the pure elements in eV per atom: 0.046
Distance to the lowest polymorph of the same formula in eV per atom: 0.0039
DOS(E_F) in states/eV/cell: 11.8

---

[8]
Below is a relaxed structure of Ce6Tl3Pt, with properties calculated at the PBE level.

POSCAR file:
```
Ce6Tl3Pt
1.0
5.647 0.000 0.000
0.000 8.841 0.000
-5.059 0.000 11.083
Ce Tl Pt
12 6 2
direct
0.050 0.137 0.066
0.050 0.363 0.566
0.429 0.175 0.419
0.429 0.325 0.919
0.440 0.561 0.263
0.440 0.939 0.763
0.560 0.061 0.237
0.560 0.439 0.737
0.571 0.675 0.081
0.571 0.825 0.581
0.950 0.637 0.434
0.950 0.863 0.934
0.000 0.000 0.500
0.000 0.500 0.000
0.104 0.635 0.762
0.104 0.865 0.262
0.896 0.135 0.738
0.896 0.365 0.238
0.500 0.000 0.000
0.500 0.500 0.500
```

Output
Energy of formation from the pure elements in eV per atom: -0.278
DOS(E_F) in states/eV/cell: 52.3

---

[9]
Below is a relaxed structure of PuZn2AgO6, with properties calculated at the PBE level.

POSCAR file:
```
PuZn2AgO6
1.0
5.327 0.000 0.000
2.476 5.026 0.000
2.322 0.831 5.093
Pu Zn Ag O
1 2 1 6
direct
0.000 0.000 0.000
0.183 0.311 0.340
0.748 0.630 0.923
0.505 0.485 0.541
0.092 0.347 0.715
0.184 0.004 0.227
0.402 0.754 0.805
0.605 0.281 0.196
0.818 0.999 0.774
0.889 0.636 0.211
```

Output
Raw formation energy in eV/atom: -1.5240
DOS(E_F) in states/eV/cell: 0.9

---

[10]
Below is a relaxed structure of Si2Ag2Hg, with properties calculated at the PBE level.

POSCAR file:
```
Si2Ag2Hg
1.0
-2.113 2.113 5.438
2.113 -2.113 5.438
2.113 2.113 -5.438
Si Ag Hg
2 2 1
direct
0.106 0.106 0.000
0.894 0.894 0.000
0.250 0.750 0.500
0.750 0.250 0.500
0.500 0.500 0.000
```

Output
Raw formation energy in eV/atom: 0.3367
Distance to the lowest polymorph of the same formula in eV per atom: 0.0463
DOS(E_F) in states/eV/cell: 1.9

---

[11]
Below is a relaxed structure of Al2ZnInHg, with properties calculated at the PBE level.

POSCAR file:
```
Al2ZnInHg
1.0
5.369 0.000 0.000
0.000 5.369 0.000
0.000 0.000 5.102
Al Zn In Hg
2 1 1 1
direct
0.000 0.500 0.000
0.500 0.000 0.000
0.000 0.000 0.500
0.000 0.000 0.000
0.500 0.500 0.500
```

Output
Energy of formation from the pure elements in eV per atom: 0.632
DOS(E_F) in states/eV/cell: 2.6

---

[12]
Below is a relaxed structure of NiBRu2, with properties calculated at the PBE level.

POSCAR file:
```
NiBRu2
1.0
1.413 0.816 6.841
-1.413 0.816 6.841
0.000 -1.632 6.841
Ni B Ru
1 1 2
direct
0.000 0.000 0.000
0.164 0.164 0.164
0.564 0.564 0.564
0.765 0.765 0.765
```

Output
Energy of formation from the pure elements in eV per atom: 0.116
DOS(E_F) in states/eV/cell: 5.9